5
Lattice="4.655 0.000 0.000 0.000 5.368 0.000 0.000 0.000 5.368" Properties=species:S:1:pos:R:3 comment="Sr2CaZnH | Alexandria via LeMat-Bulk | GGA-PBEsol | optimized geometry" rho_g_cm3=3.49 n_ef_per_ev_atom=0.77 magnetic_moment_mub_per_fu=0.00 total_energy_ev_per_cell=-11.313 pbc="T T T"
Sr 0.000 0.000 2.684
Sr 0.000 2.684 0.000
Zn 2.328 2.684 2.684
Ca 2.328 0.000 0.000
H 0.000 0.000 0.000



4
Lattice="-2.348 -2.657 0.369 2.580 0.448 2.419 -4.819 4.849 4.240" Properties=species:S:1:pos:R:3 comment="PIrBr2 | Alexandria via LeMat-Bulk | GGA-PBEsol | optimized geometry" raw_formation_energy_mev_per_atom=-446 rho_g_cm3=7.18 n_ef_per_ev_atom=0.00 magnetic_moment_mub_per_fu=0.00 total_energy_ev_per_cell=-21.140 pbc="T T T"
P -3.354 1.265 4.982
Ir -3.697 1.255 2.723
Br -4.672 2.592 6.145
Br -1.036 1.265 2.510



2
Lattice="-0.284 2.356 -0.835 -2.244 0.131 1.130 1.682 1.333 3.187" Properties=species:S:1:pos:R:3 comment="LiCu | Alexandria via LeMat-Bulk | GGA-PBEsol | optimized geometry" rho_g_cm3=4.81 n_ef_per_ev_atom=0.36 formation_energy_ev_per_atom=0.029 magnetic_moment_mub_per_fu=0.00 total_energy_ev_per_cell=-6.242 pbc="T T T"
Cu 0.000 0.000 0.000
Li -0.423 1.910 1.741



2
Lattice="-0.838 0.826 3.167 -3.170 0.916 0.725 -1.979 -2.051 1.814" Properties=species:S:1:pos:R:3 comment="BAs | Alexandria via LeMat-Bulk | GGA-PBEsol | optimized geometry" rho_g_cm3=5.22 formation_energy_ev_per_atom=-0.039 magnetic_moment_mub_per_fu=0.00 total_energy_ev_per_cell=-12.201 pbc="T T T"
As -4.490 -0.231 4.279
B 0.000 0.000 0.000



4
Lattice="2.826 0.000 0.000 1.413 2.448 0.000 1.413 0.816 8.524" Properties=species:S:1:pos:R:3 comment="ReRu2Br | Alexandria via LeMat-Bulk | GGA-PBEsol | optimized geometry" raw_formation_energy_mev_per_atom=624 rho_g_cm3=13.19 n_ef_per_ev_atom=0.94 magnetic_moment_mub_per_fu=0.00 total_energy_ev_per_cell=-33.050 pbc="T T T"
Re 1.413 0.816 2.075
Br 2.826 1.632 4.283
Ru 4.239 2.448 0.003
Ru 4.239 2.448 6.425



4
Lattice="-2.764 3.076 3.154 -4.445 -1.726 2.076 -0.259 -1.051 5.087" Properties=species:S:1:pos:R:3 comment="TlPbCl2 | Alexandria via LeMat-Bulk | GGA-PBEsol | optimized geometry" raw_formation_energy_mev_per_atom=-377 rho_g_cm3=8.06 n_ef_per_ev_atom=1.07 magnetic_moment_mub_per_fu=0.00 total_energy_ev_per_cell=-12.154 pbc="T T T"
Pb -3.734 0.149 5.158
Tl -1.867 0.075 2.579
Cl 0.000 0.000 0.000
Cl -5.601 0.224 7.737